# 1
Compound: ScZnNi
Source: Alexandria
Functional: SCAN
Structure: PBEsol geometry

```
ScZnNi
1.0
-0.160 2.654 -1.807
-1.525 -1.655 -2.296
-2.903 0.485 3.829
Sc Ni Zn
1 1 1
Direct
0.341 0.341 0.683
0.005 0.005 0.010
0.653 0.653 0.307
```

- Symmetry: No. 107
- Formation energy from the elements: -0.432 eV/atom



# 2
Compound: ScZn3Ni
Source: Alexandria
Functional: SCAN
Structure: PBEsol geometry

```
ScZn3Ni
1.0
-3.685 1.075 -3.138
2.076 -2.910 -3.435
-2.587 -3.867 1.713
Sc Ni Zn
1 1 3
Direct
0.000 0.000 0.000
0.500 0.500 0.500
0.000 0.500 0.000
0.000 0.000 0.500
0.500 0.000 0.000
```

- Symmetry: No. 221
- Formation energy from the elements: 1.456 eV/atom



# 3
Compound: ScZnNi2
Source: Alexandria
Functional: SCAN
Structure: PBEsol geometry

```
ScZnNi2
1.0
-0.265 -1.109 3.418
3.583 0.181 0.337
-1.968 4.300 -0.656
Sc Ni Zn
1 2 1
Direct
0.500 0.500 0.000
0.000 0.000 0.000
0.750 0.250 0.500
0.250 0.750 0.500
```

- Symmetry: No. 119
- Formation energy from the elements: -0.379 eV/atom



# 4
Compound: ZrScNi2
Source: Alexandria
Functional: SCAN
Structure: PBEsol geometry

```
ZrScNi2
1.0
-2.857 -1.470 0.613
2.014 -3.301 1.468
1.382 2.629 4.016
Sc Ni Zr
1 2 1
Direct
0.482 0.000 0.964
0.203 0.000 0.407
0.043 0.500 0.087
0.763 0.500 0.525
```

- Symmetry: No. 38
- Formation energy from the elements: -0.512 eV/atom



# 5
Compound: Zr2ScNi2
Source: Alexandria
Functional: SCAN
Structure: PBEsol geometry

```
Zr2ScNi2
1.0
3.263 0.000 0.000
0.000 7.252 0.000
0.000 0.000 7.252
Sc Ni Zr
2 4 4
Direct
0.000 0.000 0.000
0.000 0.500 0.500
0.000 0.376 0.876
0.000 0.876 0.624
0.000 0.624 0.124
0.000 0.124 0.376
0.500 0.168 0.668
0.500 0.668 0.832
0.500 0.832 0.332
0.500 0.332 0.168
```

- Symmetry: No. 127
- Formation energy from the elements: -0.401 eV/atom



# 6
Compound: ZrScNi2
Source: Alexandria
Functional: SCAN
Structure: PBEsol geometry

```
ZrScNi2
1.0
-2.195 2.249 -0.230
-1.939 -2.038 -1.419
-2.327 -1.696 5.615
Sc Ni Zr
1 2 1
Direct
0.500 0.500 0.000
0.000 0.000 0.742
0.000 0.000 0.258
0.500 0.500 0.500
```

- Symmetry: No. 123
- Formation energy from the elements: -0.456 eV/atom



# 7
Compound: Ni3Se4
Source: Alexandria
Functional: SCAN
Structure: PBEsol geometry

```
Ni3Se4
1.0
3.635 0.000 0.000
0.000 6.115 0.018
-1.818 -2.997 5.009
Ni Se
3 4
Direct
0.000 0.000 0.000
0.260 0.278 0.520
0.740 0.722 0.480
0.117 0.458 0.235
0.883 0.542 0.765
0.635 0.976 0.269
0.365 0.024 0.731
```

- Symmetry: No. 12
- Energy relative to the elements, uncorrected: -0.292 eV/atom



# 8
Compound: Ni3Se
Source: Alexandria
Functional: SCAN
Structure: PBEsol geometry

```
Ni3Se
1.0
-0.982 0.920 -2.894
-2.887 -2.451 0.201
-0.256 3.478 2.952
Ni Se
3 1
Direct
0.727 0.645 0.454
0.273 0.192 0.546
0.500 0.917 0.000
0.000 0.413 0.000
```

- Symmetry: No. 44
- Energy above the most stable polymorph in this dataset: 0 meV/atom
- Energy relative to the elements, uncorrected: 0.149 eV/atom